# 1
Na3CoPb3O8 (GGA+U, relaxed); crystal system = monoclinic; raw total energy = -5.076 eV per atom; space group = No. 12; DOS(E_F) = 5.343 states/eV/cell
1.0
5.687 -3.394 0.000
5.687 3.394 0.000
-3.764 0.000 5.650
Na Co Pb O
3 1 3 8
Cartesian
0.000 0.000 0.000
2.843 1.697 0.000
2.843 -1.697 0.000
-1.882 0.000 2.825
0.961 1.697 2.825
0.961 -1.697 2.825
3.805 0.000 2.825
2.922 2.002 3.916
-0.213 0.000 3.939
4.688 2.002 1.735
1.791 0.000 1.505
5.818 0.000 4.145
2.922 -2.002 3.916
7.822 0.000 1.711
4.688 -2.002 1.735


# 2
Na3CoPd2O6 (GGA+U, relaxed); crystal system = monoclinic; raw total energy = -5.041 eV per atom; space group = No. 12; DOS(E_F) = 1.159 states/eV/cell
1.0
2.813 -4.555 0.000
2.813 4.555 0.000
-2.071 0.000 5.260
Na Co Pd O
3 1 2 6
Cartesian
0.000 0.000 0.000
2.813 1.539 0.000
2.813 -1.539 0.000
1.778 0.000 2.630
1.778 3.018 2.630
1.778 -3.018 2.630
1.021 1.445 1.539
-0.011 0.000 3.621
1.021 -1.445 1.539
2.534 1.445 3.721
3.567 0.000 1.639
2.534 -1.445 3.721


# 3
NaPmCoO4 (GGA+U, relaxed); crystal system = monoclinic; raw total energy = -6.273 eV per atom; space group = No. 11
1.0
6.019 0.000 0.000
0.000 5.749 0.000
-0.060 0.000 7.020
Na Pm Co O
2 2 2 8
Cartesian
0.760 1.437 0.968
5.199 4.312 6.052
1.877 1.437 4.076
4.082 4.312 2.944
1.060 4.312 2.373
4.899 1.437 4.647
0.269 1.437 5.771
0.314 4.312 3.981
2.240 2.926 2.278
2.240 5.698 2.278
3.719 0.051 4.742
3.719 2.823 4.742
5.645 1.437 3.039
5.690 4.312 1.249


# 4
NaPm2CoO6 (GGA+U, relaxed); crystal system = monoclinic; raw total energy = -6.713 eV per atom; space group = No. 14
1.0
5.429 0.000 0.000
0.000 5.879 0.000
-5.313 0.000 7.696
Na Pm Co O
2 4 2 12
Cartesian
0.000 0.000 0.000
-2.656 2.939 3.848
-2.750 0.441 5.751
-0.094 2.498 1.903
0.210 3.380 5.793
2.866 5.438 1.945
0.058 0.000 3.848
2.714 2.939 0.000
-1.491 1.008 3.478
-4.147 1.932 7.326
-0.850 4.250 3.352
-3.507 4.568 7.200
0.616 0.238 2.128
-2.040 2.701 5.976
2.156 3.178 1.720
-0.500 5.641 5.568
3.623 1.310 0.496
0.966 1.629 4.344
4.263 3.947 0.370
1.607 4.871 4.218


# 5
Na4Pm3CoO8 (GGA+U, relaxed); crystal system = monoclinic; raw total energy = -6.224 eV per atom; space group = No. 12
1.0
5.976 -3.422 0.000
5.976 3.422 0.000
-3.901 0.000 5.630
Na Pm Co O
4 3 1 8
Cartesian
0.000 0.000 0.000
1.038 1.711 2.815
1.038 -1.711 2.815
5.976 0.000 0.000
-1.950 0.000 2.815
2.988 1.711 0.000
2.988 -1.711 0.000
4.026 0.000 2.815
-0.112 0.000 4.252
2.040 0.000 1.300
4.759 1.512 1.598
3.293 1.512 4.032
4.759 -1.512 1.598
3.293 -1.512 4.032
6.011 0.000 4.330
8.164 0.000 1.378


# 6
NaPm2Co2O6 (GGA+U, relaxed); crystal system = trigonal; raw total energy = -6.343 eV per atom; space group = No. 166; DOS(E_F) = 7.915 states/eV/cell
1.0
2.919 1.685 5.875
-2.919 1.685 5.875
0.000 -3.370 5.875
Na Pm Co O
1 2 2 6
Cartesian
0.000 0.000 0.000
0.000 0.000 3.364
0.000 0.000 14.261
0.000 0.000 7.416
0.000 0.000 10.209
-1.544 -0.892 9.989
0.000 -1.783 7.636
-1.544 0.892 7.636
1.544 -0.892 9.989
0.000 1.783 9.989
1.544 0.892 7.636


# 7
Na3Pr3CoO8 (GGA+U, relaxed); crystal system = trigonal; raw total energy = -6.331 eV per atom; space group = No. 166
1.0
3.479 2.008 5.543
-3.479 2.008 5.543
0.000 -4.017 5.543
Na Pr Co O
3 3 1 8
Cartesian
-1.739 -1.004 5.543
-1.739 1.004 11.087
0.000 2.008 5.543
-3.479 0.000 8.315
-1.739 1.004 2.772
1.739 1.004 2.772
0.000 0.000 8.315
0.000 0.000 4.005
-1.471 -0.849 9.401
0.000 -1.698 7.229
-1.471 0.849 7.229
1.471 -0.849 9.401
0.000 1.698 9.401
1.471 0.849 7.229
0.000 0.000 12.625


# 8
Na2PrCoO4 (GGA+U, relaxed); crystal system = tetragonal; raw total energy = -5.891 eV per atom; space group = No. 82
1.0
-2.863 2.863 3.280
2.863 -2.863 3.280
2.863 2.863 -3.280
Na Pr Co O
2 1 1 4
Cartesian
0.000 0.000 0.000
0.000 2.863 1.640
0.000 0.000 3.280
2.863 0.000 1.640
1.560 -1.259 1.976
1.604 1.303 1.304
1.303 4.122 -1.304
1.259 1.560 4.584


# 9
NaCo2PtO4 (GGA+U, relaxed); crystal system = tetragonal; raw total energy = -5.240 eV per atom; space group = No. 121; DOS(E_F) = 4.147 states/eV/cell
1.0
-2.640 2.640 3.645
2.640 -2.640 3.645
2.640 2.640 -3.645
Na Co Pt O
1 2 1 4
Cartesian
0.000 0.000 0.000
2.640 0.000 1.823
0.000 2.640 1.823
0.000 0.000 3.645
1.701 1.701 -1.601
0.939 0.939 2.045
0.939 -0.939 5.246
-0.939 0.939 5.246


# 10
Na3CoPt2O6 (GGA+U, relaxed); crystal system = monoclinic; raw total energy = -5.244 eV per atom; space group = No. 12; DOS(E_F) = 4.149 states/eV/cell
1.0
2.761 -4.887 0.000
2.761 4.887 0.000
-1.827 0.000 5.216
Na Co Pt O
3 1 2 6
Cartesian
0.000 0.000 0.000
2.761 1.630 0.000
2.761 -1.630 0.000
1.848 0.000 2.608
1.848 3.251 2.608
1.848 -3.251 2.608
0.901 1.650 1.569
-0.024 0.000 3.636
0.901 -1.650 1.569
2.795 1.650 3.647
3.720 0.000 1.580
2.795 -1.650 3.647


# 11
Na4CoPt3O8 (GGA+U, relaxed); crystal system = monoclinic; raw total energy = -5.270 eV per atom; space group = No. 12
1.0
5.901 -3.089 0.000
5.901 3.089 0.000
-2.983 0.000 5.399
Na Co Pt O
4 1 3 8
Cartesian
0.000 0.000 0.000
1.459 1.544 2.700
1.459 -1.544 2.700
5.901 0.000 0.000
-1.492 0.000 2.700
2.951 1.544 0.000
2.951 -1.544 0.000
4.410 0.000 2.700
4.552 1.534 1.341
1.998 0.000 0.973
0.704 0.000 4.252
4.267 1.534 4.058
4.552 -1.534 1.341
8.116 0.000 1.147
6.822 0.000 4.426
4.267 -1.534 4.058


# 12
Na2CoPt2O6 (GGA+U, relaxed); crystal system = monoclinic; raw total energy = -5.512 eV per atom; space group = No. 12; DOS(E_F) = 0.000 states/eV/cell
1.0
2.693 -4.739 0.000
2.693 4.739 0.000
-1.785 0.000 5.403
Na Co Pt O
2 1 2 6
Cartesian
2.693 3.181 0.000
2.693 -3.181 0.000
-0.892 0.000 2.701
1.801 1.567 2.701
1.801 -1.567 2.701
0.017 1.654 3.742
0.909 0.000 1.681
0.017 -1.654 3.742
3.585 1.654 1.661
2.693 0.000 3.722
3.585 -1.654 1.661